Material: TaSiOs2
Method: DFT, PBE-GGA
State: relaxed

Structure (POSCAR):
```
TaSiOs2
1.0
-1.8777 1.8777 4.1904
1.8777 -1.8777 4.1904
1.8777 1.8777 -4.1904
Ta Si Os
1 1 2
Cartesian
0.0000 0.0000 0.0000
0.0000 1.8777 2.0952
1.8777 0.0000 2.0952
0.0000 0.0000 4.1904
```

Calculated values
- space group = I-4m2 (119)
- total magnetization (μB per atom) = 0.000
- energy relative to the elements, uncorrected (meV per atom) = -142


Material: NaP2RuPt
Method: DFT, PBE-GGA
State: relaxed

Structure (POSCAR):
```
NaP2RuPt
1.0
-2.0144 2.0144 4.9433
2.0144 -2.0144 4.9433
2.0144 2.0144 -4.9433
Na P Ru Pt
1 2 1 1
Cartesian
0.0000 0.0000 0.0000
0.0000 0.0000 3.7671
0.0000 0.0000 6.1195
0.0000 2.0144 2.4717
2.0144 0.0000 2.4717
```

Calculated values
- space group = I-4m2 (119)
- total magnetization (μB per atom) = 0.000
- energy relative to the elements (eV per atom) = -0.5305


Material: NaIn6Pt3
Method: DFT, PBE-GGA
State: relaxed

Structure (POSCAR):
```
NaIn6Pt3
1.0
8.7125 0.0000 0.0000
0.0000 4.5753 0.0000
-0.1946 0.0000 11.0905
Na In Pt
2 12 6
Cartesian
0.8169 1.1438 2.7013
7.7010 3.4315 8.3893
0.5223 1.1438 10.2243
1.0011 3.4315 5.5596
2.0805 3.4315 8.5647
2.7521 3.4315 2.8801
3.3236 1.1438 6.2758
3.6674 1.1438 0.7921
4.8504 3.4315 10.2984
5.1942 3.4315 4.8148
5.7657 1.1438 8.2104
6.4373 1.1438 2.5258
7.5168 1.1438 5.5309
7.9955 3.4315 0.8662
0.8542 1.1438 7.4112
2.0805 3.4315 0.2122
3.9839 1.1438 3.6247
4.5340 3.4315 7.4658
6.4373 1.1438 10.8783
7.6636 3.4315 3.6793
```

Calculated values
- space group = P2_1/m (11)
- total magnetization (μB per atom) = 0.000
- energy relative to the elements (eV per atom) = -0.3976


Material: LaInSn2H
Method: DFT, PBE-GGA
State: relaxed

Structure (POSCAR):
```
LaInSn2H
1.0
4.9460 0.0000 0.0000
0.0000 4.9460 0.0000
0.0000 0.0000 4.6389
La In Sn H
1 1 2 1
Cartesian
0.0000 0.0000 0.0000
2.4730 2.4730 0.0000
0.0000 2.4730 2.3194
2.4730 0.0000 2.3194
0.0000 0.0000 2.3194
```

Calculated values
- offset from the most stable computed form (meV per atom) = 0.0
- space group = P4/mmm (123)
- total magnetization (μB per atom) = 0.000


Material: TbY7Hg4
Method: DFT, PBE-GGA
State: relaxed

Structure (POSCAR):
```
TbY7Hg4
1.0
7.3225 -2.8381 0.0000
7.3225 2.8381 0.0000
-5.2832 0.0000 8.3096
Tb Y Hg
1 7 4
Cartesian
0.0000 0.0000 0.0000
-1.1673 0.0000 3.3606
-1.6068 0.0000 7.3456
2.2556 0.0000 2.6434
7.3225 0.0000 0.0000
7.1063 0.0000 5.6662
10.9687 0.0000 0.9640
10.5292 0.0000 4.9490
1.0769 0.0000 5.4944
5.1875 0.0000 2.2427
4.1744 0.0000 6.0669
8.2850 0.0000 2.8152
```

Calculated values
- space group = C2/m (12)
- total magnetization (μB per atom) = 0.000
- energy relative to the elements (eV per atom) = -0.1224


Material: Cs3Ce3ThSe8
Method: DFT, PBE-GGA
State: relaxed

Structure (POSCAR):
```
Cs3Ce3ThSe8
1.0
4.3917 2.5355 8.5067
-4.3917 2.5355 8.5067
0.0000 -5.0711 8.5067
Cs Ce Th Se
3 3 1 8
Cartesian
-2.1958 -1.2678 8.5067
-2.1958 1.2678 17.0133
0.0000 2.5355 8.5066
-4.3917 0.0000 12.7600
-2.1958 1.2678 4.2533
2.1958 1.2678 4.2533
0.0000 0.0000 12.7600
0.0000 0.0000 5.8441
-2.1506 -1.2416 14.3296
0.0000 -2.4833 11.1903
-2.1506 1.2416 11.1903
2.1506 -1.2416 14.3297
0.0000 2.4833 14.3297
2.1506 1.2416 11.1903
0.0000 0.0000 19.6759
```

Calculated values
- space group = R-3m (166)
- total magnetization (μB per atom) = 0.200
- energy relative to the elements, uncorrected (meV per atom) = -1700


Material: PaTa2C2
Method: DFT, PBE-GGA
State: relaxed

Structure (POSCAR):
```
PaTa2C2
1.0
0.0000 4.4979 4.6108
3.7293 0.0000 4.6108
3.7293 4.4979 0.0000
Pa Ta C
2 4 4
Cartesian
0.9323 1.1245 1.1527
6.5263 7.8713 8.0690
2.7970 3.3734 2.1028
4.6616 5.6224 4.4082
2.7970 3.3734 4.8134
4.6616 5.6224 7.1189
2.7970 1.5074 3.4581
4.6616 3.7564 5.7636
2.7970 5.2394 3.4581
4.6616 7.4883 5.7636
```

Calculated values
- space group = Fddd (70)
- total magnetization (μB per atom) = 0.000
- energy relative to the elements (eV per atom) = -0.1010


Material: HfPtS2N
Method: DFT, PBE-GGA
State: relaxed

Structure (POSCAR):
```
HfPtS2N
1.0
4.8921 0.0000 0.0000
0.0000 4.8921 0.0000
0.0000 0.0000 3.6706
Hf Pt S N
1 1 2 1
Cartesian
0.0000 0.0000 0.0000
2.4461 2.4461 1.8353
0.0000 2.4461 1.8353
2.4461 0.0000 1.8353
2.4461 2.4461 0.0000
```

Calculated values
- offset from the most stable computed form (meV per atom) = 0.0
- space group = P4/mmm (123)
- total magnetization (μB per atom) = 0.110
- energy relative to the elements, uncorrected (meV per atom) = 380


Material: LuPuPbAu
Method: DFT, PBE-GGA
State: relaxed

Structure (POSCAR):
```
LuPuPbAu
1.0
0.0000 3.7159 3.7159
3.7159 0.0000 3.7159
3.7159 3.7159 0.0000
Lu Pu Pb Au
1 1 1 1
Cartesian
0.0000 0.0000 0.0000
3.7159 3.7159 3.7159
1.8579 1.8579 1.8579
5.5738 5.5738 5.5738
```

Calculated values
- space group = F-43m (216)
- total magnetization (μB per atom) = 1.517
- energy relative to the elements (eV per atom) = -0.3914


Material: V2GaRu
Method: DFT, PBE-GGA
State: relaxed

Structure (POSCAR):
```
V2GaRu
1.0
-1.5376 2.0592 4.3206
1.5376 -2.0592 4.3206
1.5376 2.0592 -4.3206
V Ga Ru
2 1 1
Cartesian
0.0000 0.0000 2.0746
0.0000 0.0000 6.5666
0.0000 2.0592 0.0000
1.5376 0.0000 0.0000
```

Calculated values
- space group = Immm (71)
- total magnetization (μB per atom) = 0.000
- energy relative to the elements (eV per atom) = -0.2900


Material: SrS2N
Method: DFT, PBE-GGA
State: relaxed

Structure (POSCAR):
```
SrS2N
1.0
0.0000 3.4843 3.4843
3.4843 0.0000 3.4843
3.4843 3.4843 0.0000
Sr S N
1 2 1
Cartesian
0.0000 0.0000 0.0000
1.7422 1.7422 1.7422
5.2265 5.2265 5.2265
3.4843 3.4843 3.4843
```

Calculated values
- offset from the most stable computed form (meV per atom) = 831.7
- space group = Fm-3m (225)
- total magnetization (μB per atom) = 0.275
- energy relative to the elements, uncorrected (meV per atom) = 683


Material: Ta2InPt
Method: DFT, PBE-GGA
State: relaxed

Structure (POSCAR):
```
Ta2InPt
1.0
5.0220 -1.4834 0.0000
5.0220 1.4834 0.0000
-1.0416 0.0000 4.8749
Ta In Pt
2 1 1
Cartesian
2.1901 0.0000 1.1541
6.8122 0.0000 3.7208
-0.5208 0.0000 2.4375
5.0220 0.0000 0.0000
```

Calculated values
- space group = C2/m (12)
- total magnetization (μB per atom) = 0.000
- energy relative to the elements (eV per atom) = -0.1023